A plane-wave DFT calculation with GGA+U was carried out for KAlVO3 after structural relaxation.

Structure (POSCAR):
```
KAlVO3
1.0
2.786 -5.228 0.000
2.786 5.228 0.000
0.000 0.000 5.372
K Al V O
2 2 2 6
Cartesian
2.786 2.632 4.029
2.786 -2.632 1.343
2.786 4.588 1.343
2.786 -4.588 4.029
2.786 0.725 1.343
2.786 -0.725 4.029
1.237 0.000 0.000
1.237 0.000 2.686
2.786 2.835 1.343
2.786 -2.835 4.029
4.334 0.000 0.000
4.334 0.000 2.686
```

**Raw total energy**: -6.5971 eV/atom
**Theoretical density**: 3.5 g/cm3